1.
Density functional theory data (GGA-PBE) for KCaMg14 after structural relaxation.

Unit cell a=6.678 b=6.678 c=10.688 alpha=90.00 beta=90.00 gamma=120.00
Sites, in units of the cell vectors:
K1 0.000 0.000 0.500
Mg1 0.174 0.826 0.754
Mg2 0.004 0.502 0.000
Mg3 0.497 0.994 0.500
Mg4 0.497 0.503 0.500
Mg5 0.498 0.502 0.000
Mg6 0.498 0.996 0.000
Mg7 0.006 0.503 0.500
Mg8 0.653 0.826 0.754
Mg9 0.174 0.826 0.246
Mg10 0.667 0.333 0.252
Mg11 0.174 0.347 0.246
Mg12 0.653 0.826 0.246
Mg13 0.174 0.347 0.754
Mg14 0.667 0.333 0.748
Ca1 0.000 0.000 0.000

Values from the calculation:
**Formation energy**: 0.084 eV/atom
**Distance to the lowest polymorph of the same formula**: 0.0 meV/atom
**Space group**: No. 187
**Size of the total moment**: 0.00 μB/cell
**Calculated volume**: 25.8 Å³/atom

---

2.
Density functional theory data (GGA-PBE) for AcPr5Sn6 after structural relaxation.

Unit cell a=7.946 b=8.005 c=7.993 alpha=59.95 beta=80.35 gamma=70.45
Sites, in units of the cell vectors:
Sn1 0.259 0.912 0.654
Sn2 0.741 0.088 0.346
Sn3 0.254 0.263 0.000
Sn4 0.259 0.567 0.346
Sn5 0.741 0.433 0.654
Sn6 0.746 0.737 0.000
Ac1 0.000 0.000 0.000
Pr1 0.000 0.332 0.336
Pr2 0.000 0.668 0.664
Pr3 0.500 0.500 0.000
Pr4 0.500 0.839 0.322
Pr5 0.500 0.161 0.678

Values from the calculation:
**Formation energy**: -0.551 eV/atom
**Space group**: No. 12
**Size of the total moment**: 0.00 μB/cell
**Calculated volume**: 34.6 Å³/atom

---

3.
Density functional theory data (GGA-PBE) for Pr3In4 after structural relaxation.

Unit cell a=4.927 b=3.890 c=11.180 alpha=100.02 beta=102.73 gamma=90.00
Last column: magnetic moment on the atom in μB.
Sites, in units of the cell vectors:
Pr1 0.196 0.196 0.392  0.18
Pr2 0.500 0.000 0.000  0.01
Pr3 0.804 0.804 0.608  0.18
In1 0.933 0.433 0.866  0.00
In2 0.645 0.645 0.289  0.00
In3 0.067 0.567 0.134  0.00
In4 0.355 0.355 0.711  0.00

Values from the calculation:
**Formation energy**: -0.455 eV/atom
**Distance to the lowest polymorph of the same formula**: 0.0 meV/atom
**Space group**: No. 71
**Size of the total moment**: 0.91 μB/cell
**Calculated volume**: 29.4 Å³/atom

---

4.
Density functional theory data (GGA-PBE) for Y2AlP after structural relaxation.

Unit cell a=3.434 b=3.434 c=7.820 alpha=90.00 beta=90.00 gamma=95.54
Sites, in units of the cell vectors:
Al1 0.000 0.000 0.561
Y1 0.500 0.500 0.301
Y2 0.000 0.000 0.939
P1 0.500 0.500 0.700

Values from the calculation:
**Formation energy**: -0.419 eV/atom
**Distance to the lowest polymorph of the same formula**: 483.7 meV/atom
**Space group**: No. 35
**Size of the total moment**: 0.00 μB/cell
**Calculated volume**: 22.9 Å³/atom